1.
An optimized crystal structure of Nd2DyCr2C4. Source: Alexandria via LeMat-Bulk, functional GGA-PBE.

Unit cell a=13.338 b=3.489 c=6.076 alpha=90.00 beta=108.81 gamma=90.00
Space group C2/m (No. 12)
Asymmetric unit:
Nd  0.134  0.000  0.041 (multiplicity 4)
Dy  0.000  0.000  0.500 (multiplicity 2)
Cr  0.181  0.500  0.500 (multiplicity 4)
C  0.053  0.500  0.271 (multiplicity 4)
C  0.213  0.000  0.669 (multiplicity 4)

Values from the calculation:
- total energy (Ha/atom) = -0.291

2.
An optimized crystal structure of GePd2Ru. Source: Alexandria via LeMat-Bulk, functional GGA-PBE.

Unit cell a=3.725 b=3.725 c=18.827 alpha=90.00 beta=90.00 gamma=90.00
Space group I-42d (No. 122)
Asymmetric unit:
Ge  0.000  0.000  0.000 (multiplicity 4)
Pd  0.250  0.250  0.125 (multiplicity 8)
Ru  0.000  0.000  0.500 (multiplicity 4)

Values from the calculation:
- total energy (Ha/atom) = -0.216

Q: What is the formula in the second record?
A: GePd2Ru